Arrangement w

HfPtW3: optimized geometry, PBE.

Summary:
Density = 14.1 g/cm³
DOS at the Fermi energy = 1.1269 states/eV/atom
SG = Pm-3m, No. 221
Size of the total moment = 0.00 μB per formula unit

extended XYZ file:
```
5
Lattice="4.781 0.000 0.000 0.000 4.781 0.000 0.000 0.000 4.781" Properties=species:S:1:pos:R:3 pbc="T T T"
W 0.000 0.000 2.390
W 2.390 0.000 0.000
W 0.000 2.390 0.000
Pt 0.000 0.000 0.000
Hf 2.390 2.390 2.390
```

***

Arrangement x

HfPtW3: optimized geometry, PBE.

Summary:
Density = 14.6 g/cm³
DOS at the Fermi energy = 1.0078 states/eV/atom
SG = Pm-3m, No. 221
Size of the total moment = 0.00 μB per formula unit

extended XYZ file:
```
5
Lattice="-3.417 -3.260 0.080 2.302 -2.329 3.404 -2.310 2.501 3.274" Properties=species:S:1:pos:R:3 pbc="T T T"
Pt -1.712 -1.544 3.379
W -1.155 1.251 1.637
W -1.708 -1.630 0.040
W 1.151 -1.165 1.702
Hf 0.000 0.000 0.000
```

***

What should be chosen as the least stable of them? Choose arrangement x.